Crystalline Na4Pd at its relaxed geometry, computed with PBE-GGA.

Summary:
The formation energy comes out at -0.01 eV/atom. For the distance to the lowest polymorph of the same formula, the calculation gives 43.4 meV per atom. For the calculated volume, the calculation gives 596.4 Å³ per cell.

Cell lengths 6.477, 6.477, 14.218 Å; angles 90.00, 90.00, 90.00 degrees
Space group I4_1/a (No. 88, origin choice 2)
One atom of each set of equivalent atoms:
Na: 0.146 0.473 0.296
Pd: 0.000 0.250 0.125